Density functional theory data (PBE-GGA) for a relaxed structure of Ce2ThGa2Au2.

Unit cell a=4.4738 b=4.4738 c=27.6651 alpha=90.00 beta=90.00 gamma=120.00
Closest atoms and distances in Å follow each position.
Space group R-3m (No. 166, hexagonal axes)
Symmetry-distinct sites (fractional):
Ce  0.0000  0.0000  0.1406 (multiplicity 6)  3 Ce 2.96, 4 Ga 3.15-3.24, 3 Au 3.25
Th  0.0000  0.0000  0.0000 (multiplicity 3)  6 Au 3.22, 6 Ga 3.32
Ga  0.0000  0.0000  0.2578 (multiplicity 6)  3 Au 2.59
Au  0.0000  0.0000  0.4029 (multiplicity 6)  3 Ga 2.59

Values from the calculation:
The formation energy comes out at -580 meV per atom.



Density functional theory data (PBE-GGA) for a relaxed structure of CeTmGa2Au5.

Unit cell a=4.7608 b=4.7608 c=8.4076 alpha=90.00 beta=90.00 gamma=90.00
Closest atoms and distances in Å follow each position.
Space group P4/mmm (No. 123)
Symmetry-distinct sites (fractional):
Ce  0.0000  0.0000  0.0000 (multiplicity 1)  12 Au 3.13-3.37
Tm  0.0000  0.0000  0.5000 (multiplicity 1)  8 Au 3.22, 8 Ga 3.58
Ga  0.5000  0.5000  0.3535 (multiplicity 2)  1 Ga 2.46, 4 Au 2.56
Au  0.0000  0.5000  0.2425 (multiplicity 4)  2 Ga 2.56
Au  0.5000  0.5000  0.0000 (multiplicity 1)  2 Ga 2.97, 8 Au 3.13

Values from the calculation:
The formation energy comes out at -451 meV per atom.



Density functional theory data (PBE-GGA) for a relaxed structure of Ce2TmGa2Au2.

Unit cell a=4.4665 b=4.4665 c=26.4664 alpha=90.00 beta=90.00 gamma=120.00
Closest atoms and distances in Å follow each position.
Space group R-3m (No. 166, hexagonal axes)
Symmetry-distinct sites (fractional):
Ce  0.0000  0.0000  0.1386 (multiplicity 6)  3 Ce 2.98, 4 Ga 3.14-3.27, 3 Au 3.25
Tm  0.0000  0.0000  0.0000 (multiplicity 3)  6 Au 3.09, 6 Ga 3.19
Ga  0.0000  0.0000  0.2623 (multiplicity 6)  3 Au 2.59
Au  0.0000  0.0000  0.3974 (multiplicity 6)  3 Ga 2.59

Values from the calculation:
The formation energy comes out at -610 meV per atom.



Density functional theory data (PBE-GGA) for a relaxed structure of Ce2TmGa3Au4.

Unit cell a=4.3880 b=4.3880 c=11.5445 alpha=90.00 beta=90.00 gamma=90.00
Closest atoms and distances in Å follow each position.
Space group P-4m2 (No. 115)
Symmetry-distinct sites (fractional):
Ce  0.0000  0.5000  0.2214 (multiplicity 2)  4 Ga 3.29, 8 Au 3.37-3.42
Tm  0.0000  0.0000  0.5000 (multiplicity 1)  4 Au 2.83, 4 Ga 3.10
Ga  0.0000  0.5000  0.8734 (multiplicity 2)  5 Au 2.53-2.64
Ga  0.5000  0.5000  0.5000 (multiplicity 1)  4 Au 2.83, 4 Tm 3.10
Au  0.0000  0.0000  0.0000 (multiplicity 1)  4 Ga 2.64
Au  0.0000  0.5000  0.6544 (multiplicity 2)  3 Ga 2.53-2.83, 2 Tm 2.83
Au  0.5000  0.5000  0.0000 (multiplicity 1)  4 Ga 2.64

Values from the calculation:
The formation energy comes out at -609 meV per atom.